[1]
# TlBr2O2 (PBE, optimized geometry)
data_TlBr2O2
_space_group_name_H-M_alt 'P 1'
_space_group_IT_number 1
_space_group_name_Hall 'P 1'
_cell_length_a 4.351
_cell_length_b 4.383
_cell_length_c 20.930
_cell_angle_alpha 72.19
_cell_angle_beta 72.52
_cell_angle_gamma 64.09
loop_
_atom_site_label
_atom_site_type_symbol
_atom_site_fract_x
_atom_site_fract_y
_atom_site_fract_z
Tl1 Tl 0.348 0.645 0.001
Tl2 Tl 0.902 0.105 0.499
Br1 Br 0.083 0.379 0.918
Br2 Br 0.635 0.840 0.416
Br3 Br 0.167 0.371 0.582
Br4 Br 0.615 0.910 0.084
O1 O 0.784 0.834 0.742
O2 O 0.084 0.532 0.247
O3 O 0.466 0.916 0.758
O4 O 0.166 0.218 0.253
# ΔE_f (raw) = -0.279 eV/atom
# crystal system = triclinic
# mass density = 3.92 g cm⁻³

***

[2]
# Pr4DySe7 (PBE, optimized geometry)
data_Pr4DySe7
_space_group_name_H-M_alt 'P 1'
_space_group_IT_number 1
_space_group_name_Hall 'P 1'
_cell_length_a 4.115
_cell_length_b 7.236
_cell_length_c 12.518
_cell_angle_alpha 104.36
_cell_angle_beta 90.00
_cell_angle_gamma 106.52
loop_
_atom_site_label
_atom_site_type_symbol
_atom_site_fract_x
_atom_site_fract_y
_atom_site_fract_z
Pr1 Pr 0.699 0.398 0.807
Pr2 Pr 0.301 0.602 0.193
Pr3 Pr 0.999 0.999 0.997
Pr4 Pr 0.112 0.224 0.426
Dy1 Dy 0.887 0.774 0.577
Se1 Se 0.743 0.487 0.357
Se2 Se 0.268 0.535 0.648
Se3 Se 0.338 0.675 0.949
Se4 Se 0.661 0.321 0.050
Se5 Se 0.037 0.074 0.778
Se6 Se 0.961 0.921 0.216
Se7 Se 0.495 0.989 0.504
# ΔE_f (raw) = -1.882 eV/atom
# crystal system = monoclinic
# mass density = 6.15 g cm⁻³

***

[3]
# RbIrPb2 (PBE, optimized geometry)
data_RbIrPb2
_space_group_name_H-M_alt 'P 1'
_space_group_IT_number 1
_space_group_name_Hall 'P 1'
_cell_length_a 6.995
_cell_length_b 6.995
_cell_length_c 8.982
_cell_angle_alpha 67.08
_cell_angle_beta 67.08
_cell_angle_gamma 90.00
loop_
_atom_site_label
_atom_site_type_symbol
_atom_site_fract_x
_atom_site_fract_y
_atom_site_fract_z
Pb1 Pb 0.841 0.125 0.250
Pb2 Pb 0.909 0.625 0.250
Pb3 Pb 0.375 0.159 0.750
Pb4 Pb 0.875 0.091 0.750
Ir1 Ir 0.000 0.000 0.000
Ir2 Ir 0.750 0.250 0.500
Rb1 Rb 0.500 0.500 0.000
Rb2 Rb 0.250 0.750 0.500
# ΔE_f = 1.025 eV per formula unit
# crystal system = tetragonal
# mass density = 6.27 g cm⁻³
# ΔE to the lowest computed polymorph = 0.0 meV/atom

***

[4]
# InOsCl2 (PBE, optimized geometry)
data_InOsCl2
_space_group_name_H-M_alt 'P 1'
_space_group_IT_number 1
_space_group_name_Hall 'P 1'
_cell_length_a 6.257
_cell_length_b 6.257
_cell_length_c 7.290
_cell_angle_alpha 64.59
_cell_angle_beta 64.59
_cell_angle_gamma 90.00
loop_
_atom_site_label
_atom_site_type_symbol
_atom_site_fract_x
_atom_site_fract_y
_atom_site_fract_z
Cl1 Cl 0.733 0.125 0.250
Cl2 Cl 0.017 0.625 0.250
Cl3 Cl 0.375 0.267 0.750
Cl4 Cl 0.875 0.983 0.750
Os1 Os 0.000 0.000 0.000
Os2 Os 0.750 0.250 0.500
In1 In 0.500 0.500 0.000
In2 In 0.250 0.750 0.500
# ΔE_f (raw) = 0.620 eV/atom
# crystal system = tetragonal
# mass density = 5.51 g cm⁻³
# ΔE to the lowest computed polymorph = 608.0 meV/atom

***

no.,raw total energy (eV/atom)
1,-3.405
2,-5.892
3,-4.055
4,-3.795